1.
The following is a DFT calculation (PBE) of an optimized crystal structure of CaAl4Pd6.

```
data_CaAl4Pd6
_chemical_formula_sum 'Ca1 Al4 Pd6'
_cell_length_a 7.3501
_cell_length_b 7.3501
_cell_length_c 3.8871
_cell_angle_alpha 90.00
_cell_angle_beta 90.00
_cell_angle_gamma 120.00
_symmetry_space_group_name_H-M 'P -6 m 2'
_symmetry_Int_Tables_number 187
_symmetry_space_group_name_Hall 'P -6 2'
loop_
_atom_site_label
_atom_site_type_symbol
_atom_site_fract_x
_atom_site_fract_y
_atom_site_fract_z
Ca1 Ca 0.0000 0.0000 0.0000
Al1 Al 0.3333 0.6667 0.0000
Al2 Al 0.4024 0.2012 0.5000
Pd1 Pd 0.1983 0.3966 0.5000
Pd2 Pd 0.5328 0.0656 0.0000
```

Computed properties:
Crystal system: hexagonal
Formation energy, eV per formula unit: -9.36

2.
The following is a DFT calculation (PBE) of an optimized crystal structure of K3Hg2S4.

```
data_K3Hg2S4
_chemical_formula_sum 'K6 Hg4 S8'
_cell_length_a 16.942
_cell_length_b 4.381
_cell_length_c 7.362
_cell_angle_alpha 90.00
_cell_angle_beta 112.47
_cell_angle_gamma 90.00
_symmetry_space_group_name_H-M 'C 1 2/m 1'
_symmetry_Int_Tables_number 12
_symmetry_space_group_name_Hall '-C 2y'
loop_
_atom_site_label
_atom_site_type_symbol
_atom_site_fract_x
_atom_site_fract_y
_atom_site_fract_z
K1 K 0.000 0.000 0.000
K2 K 0.131 0.000 0.547
Hg1 Hg 0.162 0.500 0.972
S1 S 0.015 0.500 0.696
S2 S 0.212 0.000 0.186
```

Computed properties:
Crystal system: monoclinic
Raw formation energy, eV per atom: -0.624

3.
The following is a DFT calculation (PBE) of an optimized crystal structure of TbTm3Hg.

```
data_TbTm3Hg
_chemical_formula_sum 'Tb4 Tm12 Hg4'
_cell_length_a 11.039
_cell_length_b 7.232
_cell_length_c 7.846
_cell_angle_alpha 90.00
_cell_angle_beta 110.59
_cell_angle_gamma 90.00
_symmetry_space_group_name_H-M 'C 1 2/m 1'
_symmetry_Int_Tables_number 12
_symmetry_space_group_name_Hall '-C 2y'
loop_
_atom_site_label
_atom_site_type_symbol
_atom_site_fract_x
_atom_site_fract_y
_atom_site_fract_z
Tb1 Tb 0.060 0.000 0.238
Tm1 Tm 0.061 0.500 0.242
Tm2 Tm 0.159 0.250 0.639
Hg1 Hg 0.245 0.500 0.000
```

Computed properties:
Crystal system: monoclinic
Formation energy, eV per formula unit: -0.58

4.
The following is a DFT calculation (PBE) of an optimized crystal structure of SiAg2Ge2.

```
data_SiAg2Ge2
_chemical_formula_sum 'Si2 Ag4 Ge4'
_cell_length_a 8.095
_cell_length_b 8.095
_cell_length_c 2.892
_cell_angle_alpha 90.00
_cell_angle_beta 90.00
_cell_angle_gamma 90.00
_symmetry_space_group_name_H-M 'P 4/m b m'
_symmetry_Int_Tables_number 127
_symmetry_space_group_name_Hall '-P 4 2ab'
loop_
_atom_site_label
_atom_site_type_symbol
_atom_site_fract_x
_atom_site_fract_y
_atom_site_fract_z
Si1 Si 0.000 0.000 0.000
Ag1 Ag 0.123 0.377 0.500
Ge1 Ge 0.178 0.678 0.000
```

Computed properties:
Crystal system: tetragonal
Raw formation energy, eV per atom: 0.418

5.
The following is a DFT calculation (PBE) of an optimized crystal structure of LaIr3Pb.

```
data_LaIr3Pb
_chemical_formula_sum 'La1 Ir3 Pb1'
_cell_length_a 5.014
_cell_length_b 5.014
_cell_length_c 5.014
_cell_angle_alpha 90.00
_cell_angle_beta 90.00
_cell_angle_gamma 90.00
_symmetry_space_group_name_H-M 'P m -3 m'
_symmetry_Int_Tables_number 221
_symmetry_space_group_name_Hall '-P 4 2 3'
loop_
_atom_site_label
_atom_site_type_symbol
_atom_site_fract_x
_atom_site_fract_y
_atom_site_fract_z
La1 La 0.000 0.000 0.000
Ir1 Ir 0.000 0.000 0.500
Pb1 Pb 0.500 0.500 0.500
```

Computed properties:
Crystal system: cubic
Formation energy, eV per formula unit: 7.82

6.
The following is a DFT calculation (PBE) of an optimized crystal structure of NbCr3.

```
data_NbCr3
_chemical_formula_sum 'Nb1 Cr3'
_cell_length_a 4.226
_cell_length_b 4.226
_cell_length_c 3.005
_cell_angle_alpha 90.00
_cell_angle_beta 90.00
_cell_angle_gamma 90.00
_symmetry_space_group_name_H-M 'P 4/m m m'
_symmetry_Int_Tables_number 123
_symmetry_space_group_name_Hall '-P 4 2'
loop_
_atom_site_label
_atom_site_type_symbol
_atom_site_fract_x
_atom_site_fract_y
_atom_site_fract_z
Nb1 Nb 0.000 0.000 0.000
Cr1 Cr 0.000 0.500 0.500
Cr2 Cr 0.500 0.500 0.000
```

Computed properties:
Crystal system: tetragonal
Formation energy, eV per formula unit: 0.39

7.
The following is a DFT calculation (PBE) of an optimized crystal structure of P2PbCS.

```
data_P2PbCS
_chemical_formula_sum 'P2 Pb1 C1 S1'
_cell_length_a 5.494
_cell_length_b 5.494
_cell_length_c 5.391
_cell_angle_alpha 90.00
_cell_angle_beta 90.00
_cell_angle_gamma 90.00
_symmetry_space_group_name_H-M 'P 4/m m m'
_symmetry_Int_Tables_number 123
_symmetry_space_group_name_Hall '-P 4 2'
loop_
_atom_site_label
_atom_site_type_symbol
_atom_site_fract_x
_atom_site_fract_y
_atom_site_fract_z
P1 P 0.000 0.500 0.000
Pb1 Pb 0.000 0.000 0.000
C1 C 0.500 0.500 0.500
S1 S 0.000 0.000 0.500
```

Computed properties:
Crystal system: tetragonal
Raw formation energy, eV per atom: 2.642

8.
The following is a DFT calculation (PBE) of an optimized crystal structure of Dy2Y3HoAs6.

```
data_Dy2Y3HoAs6
_chemical_formula_sum 'Dy4 Y6 Ho2 As12'
_cell_length_a 7.134
_cell_length_b 12.354
_cell_length_c 7.132
_cell_angle_alpha 90.00
_cell_angle_beta 109.45
_cell_angle_gamma 90.00
_symmetry_space_group_name_H-M 'C 1 2/m 1'
_symmetry_Int_Tables_number 12
_symmetry_space_group_name_Hall '-C 2y'
loop_
_atom_site_label
_atom_site_type_symbol
_atom_site_fract_x
_atom_site_fract_y
_atom_site_fract_z
Dy1 Dy 0.000 0.167 0.000
Y1 Y 0.000 0.000 0.500
Y2 Y 0.000 0.333 0.500
Ho1 Ho 0.000 0.500 0.000
As1 As 0.249 0.334 0.249
As2 As 0.250 0.000 0.249
```

Computed properties:
Crystal system: monoclinic
Formation energy, eV per formula unit: -18.55

no.,raw total energy (eV/atom)
1,-5.2261
2,-2.8910
3,-3.7862
4,-3.6539
5,-5.4790
6,-9.6387
7,-2.9337
8,-6.6349